A plane-wave DFT calculation with PBE was carried out for crystalline IrS2Br at its relaxed geometry.

```
8
Lattice="-3.160 3.921 -0.720 -2.360 -1.099 4.371 0.779 4.769 4.580" Properties=species:S:1:pos:R:3 pbc="T T T"
Ir -2.571 5.051 2.842
Ir 0.000 0.000 0.000
S -0.702 3.364 3.428
S -4.040 4.227 4.803
S -1.090 6.455 3.995
S -4.051 3.646 1.690
Br -2.760 1.411 1.825
Br -2.171 2.541 5.388
```

Formation energy (no corrections) (kJ/mol of formula units): 88
Crystal system: tetragonal


A plane-wave DFT calculation with PBE was carried out for crystalline IrS2Br at its relaxed geometry.

```
16
Lattice="14.138 0.000 2.231 0.000 3.628 0.000 -4.465 0.000 7.097" Properties=species:S:1:pos:R:3 pbc="T T T"
S 4.509 2.670 3.443
S 0.328 0.856 1.221
S 5.164 0.958 5.885
S 6.415 0.727 1.404
S 9.345 2.772 8.107
S -1.579 2.541 3.260
S 3.258 2.901 7.924
S 11.251 1.087 6.068
Ir 12.961 2.661 3.228
Ir -3.288 0.967 6.100
Ir 3.659 2.781 5.662
Ir 6.014 0.847 3.666
Br 11.230 0.834 2.620
Br -1.557 2.794 6.708
Br 1.929 0.980 5.053
Br 7.744 2.648 4.275
```

Formation energy (no corrections) (kJ/mol of formula units): -94
Crystal system: monoclinic


A plane-wave DFT calculation with PBE was carried out for crystalline IrS2Br at its relaxed geometry.

```
8
Lattice="3.583 0.000 -0.008 0.002 5.546 0.037 -0.833 -1.826 9.695" Properties=species:S:1:pos:R:3 pbc="T T T"
Br 2.046 2.355 7.810
Br 0.227 1.677 1.179
S 2.021 4.529 2.051
S 0.234 0.652 4.402
S 2.025 3.352 3.739
S 2.029 -1.247 6.628
Ir 2.023 1.078 2.943
Ir 0.237 3.929 5.164
```

Formation energy (no corrections) (kJ/mol of formula units): -70
Crystal system: triclinic


A plane-wave DFT calculation with PBE was carried out for crystalline IrS2Br at its relaxed geometry.

```
8
Lattice="6.648 0.000 0.000 0.000 6.648 0.000 3.324 3.324 2.967" Properties=species:S:1:pos:R:3 pbc="T T T"
Br 6.648 3.324 1.483
Br 3.324 6.648 1.483
S 1.662 4.986 0.000
S 4.986 1.662 0.000
S 4.986 4.986 0.000
S 1.662 1.662 0.000
Ir 6.648 6.648 1.483
Ir 3.324 3.324 1.483
```

Formation energy (no corrections) (kJ/mol of formula units): 427
Crystal system: tetragonal


What did we get for energy above the most stable polymorph in this dataset? Answer: 473 0 64 1351 meV/atom, in the order shown.